InFeSi4 | GGA-PBE | optimized geometry

a = 5.1436 Å, b = 5.1436 Å, c = 5.1436 Å
α = 60.00°, β = 60.00°, γ = 60.00°
Last column: nearest neighbours and their distance in Å.
Element x y z (fractional)
In1 0.0000 0.0000 0.0000  12 Si 3.02, 4 Fe 3.15
Fe1 0.7500 0.7500 0.7500  12 Si 3.01, 4 In 3.15
Si1 0.3760 0.3760 0.3760  6 Si 2.55-2.59
Si2 0.3760 0.3760 0.8719  6 Si 2.55-2.59
Si3 0.3760 0.8719 0.3760  6 Si 2.55-2.59
Si4 0.8719 0.3760 0.3760  6 Si 2.55-2.59

Computed properties:
ΔE_f (raw): 0.584 eV/atom

InFeSi | GGA-PBE | optimized geometry

a = 9.3894 Å, b = 9.3894 Å, c = 3.8249 Å
α = 97.02°, β = 97.02°, γ = 17.09°
Last column: nearest neighbours and their distance in Å.
Element x y z (fractional)
In1 0.0629 0.0629 0.2869  2 Fe 2.71, 4 In 2.79-3.01
In2 0.9371 0.9371 0.7131  2 Fe 2.71, 4 In 2.79-3.01
Fe1 0.3108 0.3108 0.6455  5 Si 2.37
Fe2 0.6892 0.6892 0.3545  5 Si 2.37
Si1 0.1962 0.1962 0.8578  5 Fe 2.37, 2 Si 2.57
Si2 0.8038 0.8038 0.1422  5 Fe 2.37, 2 Si 2.57

Computed properties:
ΔE_f (raw): -0.087 eV/atom

InFeSi | GGA-PBE | optimized geometry

a = 4.5871 Å, b = 3.8297 Å, c = 5.5955 Å
α = 90.00°, β = 99.96°, γ = 90.00°
Last column: nearest neighbours and their distance in Å.
Element x y z (fractional)
In1 0.0000 0.0000 0.0000  3 Fe 2.69-2.80, 1 Si 2.98
In2 0.4720 0.5000 0.8899  3 Fe 2.66-2.73, 2 Si 2.77-2.89
Fe1 0.2288 0.0000 0.5677  4 Si 2.31-2.38
Fe2 0.8646 0.5000 0.2999  4 Si 2.31-2.37
Si1 0.3773 0.5000 0.3867  4 Fe 2.32-2.37, 2 Si 2.47
Si2 0.7176 0.0000 0.4778  4 Fe 2.31-2.38, 2 Si 2.47

Computed properties:
ΔE_f (raw): -0.073 eV/atom

InFeSi | GGA-PBE | optimized geometry

a = 4.6758 Å, b = 4.0261 Å, c = 5.3202 Å
α = 90.00°, β = 107.51°, γ = 90.00°
Last column: nearest neighbours and their distance in Å.
Element x y z (fractional)
In1 0.1940 0.2500 0.4216  4 Fe 2.67-2.79, 1 Si 2.92
In2 0.8060 0.7500 0.5784  4 Fe 2.67-2.79, 1 Si 2.92
Fe1 0.1276 0.2500 0.9059  4 Si 2.31-2.39
Fe2 0.8724 0.7500 0.0941  4 Si 2.31-2.39
Si1 0.3677 0.7500 0.0541  4 Fe 2.31-2.39, 2 Si 2.52
Si2 0.6323 0.2500 0.9459  4 Fe 2.31-2.39, 2 Si 2.52

Computed properties:
ΔE_f (raw): -0.070 eV/atom

Sm6InFe2 | GGA-PBE | optimized geometry

a = 8.5624 Å, b = 8.5624 Å, c = 8.5624 Å
α = 112.38°, β = 109.41°, γ = 106.67°
Last column: nearest neighbours and their distance in Å.
Element x y z (fractional)
Sm1 0.0296 0.2357 0.7939  1 Fe 2.70
Sm2 0.1849 0.2825 0.4675  3 Fe 2.98-3.05, 1 In 3.26
Sm3 0.1849 0.7175 0.9024  3 Fe 2.98-3.05, 1 In 3.26
Sm4 0.3280 0.0159 0.6879  3 Fe 2.88-3.03
Sm5 0.3280 0.6400 0.3121  3 Fe 2.88-3.03
Sm6 0.4418 0.2357 0.2061  1 Fe 2.70
Sm7 0.5582 0.7643 0.7939  1 Fe 2.70
Sm8 0.6720 0.3600 0.6879  3 Fe 2.88-3.03
Sm9 0.6720 0.9841 0.3121  3 Fe 2.88-3.03
Sm10 0.8151 0.2825 0.0976  3 Fe 2.98-3.05, 1 In 3.26
Sm11 0.8151 0.7175 0.5325  3 Fe 2.98-3.05, 1 In 3.26
Sm12 0.9704 0.7643 0.2061  1 Fe 2.70
In1 0.0000 0.0000 0.0000  8 Sm 3.16-3.26, 2 Fe 3.25
In2 0.5000 0.5000 0.0000  12 Sm 3.39-3.74
Fe1 0.1076 0.6076 0.5000  1 Fe 2.20
Fe2 0.3288 0.0000 0.3288  2 Sm 2.70
Fe3 0.6712 0.0000 0.6712  2 Sm 2.70
Fe4 0.8924 0.3924 0.5000  1 Fe 2.20

Computed properties:
Formation energy from the elements: -84.3 meV/atom

Sm2InFe | GGA-PBE | optimized geometry

a = 3.5886 Å, b = 3.5886 Å, c = 7.6888 Å
α = 90.00°, β = 90.00°, γ = 90.00°
Last column: nearest neighbours and their distance in Å.
Element x y z (fractional)
Sm1 0.0000 0.0000 0.2174  4 Fe 3.04, 4 In 3.34, 1 Sm 3.34
Sm2 0.0000 0.0000 0.7826  4 Fe 3.04, 4 In 3.34, 1 Sm 3.34
In1 0.5000 0.5000 0.5000  8 Sm 3.34, 4 In 3.59
Fe1 0.5000 0.5000 0.0000  8 Sm 3.04

Computed properties:
Formation energy from the elements: -108.8 meV/atom